1.
Density functional theory data (PBE) for an optimized crystal structure of TlSn.

Geometry as extended XYZ:
```
4
Lattice="-3.2177 -1.0561 0.5950 1.7475 -3.6616 2.9514 0.7039 4.5554 5.2348" Properties=species:S:1:pos:R:3 pbc="T T T"
Tl -0.5008 -0.5899 1.6968
Tl -0.2655 0.4276 7.0843
Sn 0.5804 1.8520 4.0862
Sn -1.3467 -2.0143 4.6950
```

* VASP energy: -3.16 eV/atom
* ΔE_f: 0.02 eV/atom


2.
Density functional theory data (PBE) for an optimized crystal structure of Sc3ZnAg2.

Geometry as extended XYZ:
```
12
Lattice="-1.2310 -4.6020 0.7525 4.3583 1.5790 1.3312 -4.2893 2.8843 10.6222" Properties=species:S:1:pos:R:3 pbc="T T T"
Sc 0.7041 0.7231 5.5738
Sc -3.2045 2.1548 7.9357
Zn -0.7960 -1.5814 4.4820
Sc 0.2640 -2.2942 1.8568
Sc -1.8661 -0.8618 7.1320
Sc -1.4261 2.1554 10.8490
Ag 0.0000 0.0000 0.0000
Ag -2.9239 -0.1505 9.7516
Sc -1.0848 0.7295 2.6865
Ag 1.7619 0.0118 2.9543
Zn -0.3660 1.4426 8.2238
Ag -2.1447 1.4421 5.3111
```

* VASP energy: -4.63 eV/atom
* ΔE_f: -0.30 eV/atom